1.
Computed, not measured: crystalline HfPtO2F at its relaxed geometry at the PBE level of DFT.

Calculated values
DOS(E_F) = 1.87 states/eV per cell
formation energy (no corrections) = -1.74 eV per atom
total DFT energy (no corrections) = -36.5 eV for the cell shown

Unit cell a=4.1225 b=4.1225 c=4.0761 alpha=90.00 beta=90.00 gamma=90.00
Each line ends with the local moment (μB).
Sites, in units of the cell vectors:
Hf1 0.0000 0.0000 0.0000  -0.02
O1 0.0000 0.5000 0.0000  0.12
O2 0.5000 0.0000 0.0000  0.12
Pt1 0.5000 0.5000 0.5000  0.84
F1 0.0000 0.0000 0.5000  0.00

2.
Computed, not measured: crystalline RbHfOF2 at its relaxed geometry at the PBE level of DFT.

Calculated values
DOS(E_F) = 1.58 states/eV per cell
formation energy (no corrections) = -2.76 eV per atom
energy above the most stable polymorph in this dataset = 0.0 meV/atom
total DFT energy (no corrections) = -33.4 eV for the cell shown

Unit cell a=4.4599 b=4.4599 c=4.0931 alpha=90.00 beta=90.00 gamma=90.00
Each line ends with the local moment (μB).
Sites, in units of the cell vectors:
Hf1 0.0000 0.0000 0.0000  0.68
O1 0.0000 0.0000 0.5000  -0.03
Rb1 0.5000 0.5000 0.5000  0.01
F1 0.0000 0.5000 0.0000  0.01
F2 0.5000 0.0000 0.0000  0.01

3.
Computed, not measured: crystalline RbHfOF2 at its relaxed geometry at the PBE level of DFT.

Calculated values
DOS(E_F) = 5.86 states/eV per cell
formation energy (no corrections) = -0.29 eV per atom
energy above the most stable polymorph in this dataset = 2467.9 meV/atom
total DFT energy (no corrections) = -21.1 eV for the cell shown

Unit cell a=4.6707 b=4.6707 c=4.7472 alpha=90.00 beta=90.00 gamma=90.00
Each line ends with the local moment (μB).
Sites, in units of the cell vectors:
Hf1 0.5000 0.5000 0.5000  1.08
O1 0.0000 0.0000 0.5000  -0.54
Rb1 0.0000 0.0000 0.0000  -0.07
F1 0.0000 0.5000 0.0000  0.01
F2 0.5000 0.0000 0.0000  0.01

4.
Computed, not measured: crystalline Rb2Hf3OF12 at its relaxed geometry at the PBE level of DFT.

Calculated values
DOS(E_F) = 0.00 states/eV per cell
formation energy (no corrections) = -3.65 eV per atom
total DFT energy (no corrections) = -249.7 eV for the cell shown

Unit cell a=11.0340 b=11.0340 c=11.0340 alpha=41.13 beta=41.13 gamma=41.13
Sites, in units of the cell vectors:
Rb1 0.0000 0.0000 0.0000
Rb2 0.5000 0.5000 0.5000
Rb3 0.1386 0.1386 0.1386
Rb4 0.8614 0.8614 0.8614
Hf1 0.5753 0.5753 0.0281
Hf2 0.0281 0.5753 0.5753
Hf3 0.5753 0.0281 0.5753
Hf4 0.4247 0.9719 0.4247
Hf5 0.9719 0.4247 0.4247
Hf6 0.4247 0.4247 0.9719
O1 0.2871 0.2871 0.2871
O2 0.7129 0.7129 0.7129
F1 0.3724 0.7077 0.7077
F2 0.7077 0.3724 0.7077
F3 0.7077 0.7077 0.3724
F4 0.6276 0.2923 0.2923
F5 0.2923 0.6276 0.2923
F6 0.2923 0.2923 0.6276
F7 0.0903 0.5985 0.0903
F8 0.0903 0.0903 0.5985
F9 0.0000 0.3527 0.6473
F10 0.3527 0.6473 0.0000
F11 0.6473 0.0000 0.3527
F12 0.0000 0.6473 0.3527
F13 0.6473 0.3527 0.0000
F14 0.3527 0.0000 0.6473
F15 0.0830 0.6464 0.6464
F16 0.6464 0.6464 0.0830
F17 0.6464 0.0830 0.6464
F18 0.3536 0.9170 0.3536
F19 0.9170 0.3536 0.3536
F20 0.3536 0.3536 0.9170
F21 0.9097 0.4015 0.9097
F22 0.4015 0.9097 0.9097
F23 0.9097 0.9097 0.4015
F24 0.5985 0.0903 0.0903

5.
Computed, not measured: crystalline Rb2HfOF6 at its relaxed geometry at the PBE level of DFT.

Calculated values
DOS(E_F) = 0.00 states/eV per cell
formation energy (no corrections) = -2.79 eV per atom
total DFT energy (no corrections) = -55.9 eV for the cell shown

Unit cell a=6.3863 b=6.3863 c=6.6796 alpha=61.44 beta=61.44 gamma=90.00
Each line ends with the local moment (μB).
Sites, in units of the cell vectors:
Hf1 0.0000 0.0000 0.0000  0.01
O1 0.5000 0.5000 0.0000  1.51
Rb1 0.7500 0.2500 0.5000  0.00
Rb2 0.2500 0.7500 0.5000  0.00
F1 0.2037 0.2037 0.5925  0.00
F2 0.7963 0.7963 0.4075  0.00
F3 0.2216 0.2216 0.0000  0.03
F4 0.7784 0.7784 0.0000  0.03
F5 0.7784 0.2216 0.0000  0.03
F6 0.2216 0.7784 0.0000  0.03

6.
Computed, not measured: crystalline Rb3Hf2O4F3 at its relaxed geometry at the PBE level of DFT.

Calculated values
DOS(E_F) = 0.00 states/eV per cell
formation energy (no corrections) = -2.95 eV per atom
total DFT energy (no corrections) = -83.6 eV for the cell shown

Unit cell a=4.0556 b=4.2881 c=12.2930 alpha=100.04 beta=99.49 gamma=90.00
Sites, in units of the cell vectors:
Rb1 0.5023 0.5000 0.0000
Rb2 0.3054 0.3031 0.6062
Rb3 0.6992 0.6969 0.3938
Hf1 0.1034 0.1011 0.2021
Hf2 0.9013 0.8989 0.7979
O1 0.4137 0.9113 0.8227
O2 0.1825 0.1802 0.3604
O3 0.8221 0.8198 0.6396
O4 0.5910 0.0887 0.1773
F1 0.0024 0.0000 0.0000
F2 0.0943 0.5920 0.1841
F3 0.9103 0.4080 0.8159

7.
Computed, not measured: crystalline HfReO2F at its relaxed geometry at the PBE level of DFT.

Calculated values
DOS(E_F) = 3.21 states/eV per cell
formation energy (no corrections) = -0.67 eV per atom
total DFT energy (no corrections) = -37.6 eV for the cell shown

Unit cell a=3.7321 b=3.7321 c=5.4938 alpha=90.00 beta=90.00 gamma=90.00
Each line ends with the local moment (μB).
Sites, in units of the cell vectors:
Re1 0.0000 0.0000 0.0000  -0.20
Hf1 0.5000 0.5000 0.5000  0.84
O1 0.0000 0.5000 0.0000  0.01
O2 0.5000 0.0000 0.0000  0.01
F1 0.0000 0.0000 0.5000  0.04

8.
Computed, not measured: crystalline HfReO2F at its relaxed geometry at the PBE level of DFT.

Calculated values
DOS(E_F) = 1.71 states/eV per cell
formation energy (no corrections) = -1.21 eV per atom
total DFT energy (no corrections) = -40.2 eV for the cell shown

Unit cell a=4.1464 b=4.1464 c=4.2751 alpha=90.00 beta=90.00 gamma=90.00
Each line ends with the local moment (μB).
Sites, in units of the cell vectors:
Re1 0.5000 0.5000 0.5000  4.29
Hf1 0.0000 0.0000 0.0000  -0.01
O1 0.0000 0.5000 0.0000  0.15
O2 0.5000 0.0000 0.0000  0.15
F1 0.0000 0.0000 0.5000  0.08